[1]
GaSn2Hg after structural relaxation. Source: Alexandria, functional PBE.

Lattice parameters (Å, degrees): 5.2205 5.2205 5.2205 60.00 60.00 60.00
Fractional coordinates of all 4 atoms:
Ga  0.0000  0.0000  0.0000
Sn  0.7500  0.7500  0.7500
Sn  0.2500  0.2500  0.2500
Hg  0.5000  0.5000  0.5000

As for the formation energy: 0.3 eV/f.u. As for the energy above the most stable polymorph in this dataset: 1.94 kJ per mole of atoms. The density is 8.4 g/cm³. The spin magnetization is 0.00 μB/cell. Its symmetry is Fm-3m, No. 225. The calculation puts the total energy at -10.99 eV per cell.


[2]
Ga6SnHg after structural relaxation. Source: Alexandria, functional PBE.

Lattice parameters (Å, degrees): 4.0703 5.0882 8.1648 90.00 90.00 90.00
Fractional coordinates of all 8 atoms:
Sn  0.5000  0.3244  0.5000
Ga  0.0000  0.8052  0.5000
Ga  0.5000  0.7823  0.7490
Ga  0.5000  0.2029  0.0000
Ga  0.0000  0.2134  0.2394
Ga  0.0000  0.2134  0.7606
Ga  0.5000  0.7823  0.2510
Hg  0.0000  0.6759  0.0000

As for the formation energy: 0.4 eV/f.u. The density is 7.2 g/cm³. The spin magnetization is 0.00 μB/cell. Its symmetry is Pmm2, No. 25. The calculation puts the total energy at -22.08 eV per cell.